Density functional theory data (PBE+U) for an optimized crystal structure of CaV2O5.

Offset from the most stable computed form: 39 meV per atom
Total DFT energy (no corrections): -7.520 eV/atom
DOS at the Fermi energy: 0.00 states/eV per atom
Crystal system: orthorhombic
Magnetization: 2.00 μB/f.u.
Space-group type: No. 63

a = 3.805 Å, b = 5.910 Å, c = 11.342 Å
α = 90.00°, β = 90.00°, γ = 108.78°
Atoms (fractional coordinates):
Ca 0.900 0.800 0.750
Ca 0.100 0.200 0.250
V 0.204 0.408 0.597
V 0.796 0.592 0.403
V 0.796 0.592 0.097
V 0.204 0.408 0.903
O 0.710 0.419 0.250
O 0.290 0.581 0.750
O 0.239 0.477 0.075
O 0.761 0.523 0.925
O 0.761 0.523 0.575
O 0.239 0.477 0.425
O 0.057 0.115 0.619
O 0.943 0.885 0.381
O 0.057 0.115 0.881
O 0.943 0.885 0.119